Entry from Alexandria: RbY2Tc after structural relaxation (PBE).

Geometry as POSCAR:
```
RbY2Tc
1.0
7.4926 0.0000 0.0000
0.0000 7.4926 0.0000
0.0000 0.0000 7.4926
Rb Y Tc
4 8 4
direct
0.0000 0.0000 0.0000
0.0000 0.5000 0.5000
0.5000 0.0000 0.5000
0.5000 0.5000 0.0000
0.2500 0.2500 0.2500
0.2500 0.2500 0.7500
0.2500 0.7500 0.2500
0.2500 0.7500 0.7500
0.7500 0.2500 0.2500
0.7500 0.2500 0.7500
0.7500 0.7500 0.2500
0.7500 0.7500 0.7500
0.0000 0.0000 0.5000
0.0000 0.5000 0.0000
0.5000 0.0000 0.0000
0.5000 0.5000 0.5000
```

## Properties
Relative energy among the computed polymorphs = 0.141 eV/atom
Energy relative to the elements = 0.77 eV/atom
M_tot = 0.000 μB per atom